Below is a relaxed NpGe3Os3 crystal, with properties calculated at the PBE level.

## Properties
SG	Pm-3n, No. 223
energy of formation	0.71	eV per atom

Structure (extended XYZ):
```
14
Lattice="6.737 0.000 0.000 0.000 6.737 0.000 0.000 0.000 6.737" Properties=species:S:1:pos:R:3 pbc="T T T"
Os 3.369 5.053 0.000
Os 3.369 1.684 0.000
Os 5.053 0.000 3.369
Os 0.000 3.369 5.053
Os 0.000 3.369 1.684
Os 1.684 0.000 3.369
Ge 0.000 1.684 3.369
Ge 1.684 3.369 0.000
Ge 3.369 0.000 5.053
Ge 5.053 3.369 0.000
Ge 3.369 0.000 1.684
Ge 0.000 5.053 3.369
Np 0.000 0.000 0.000
Np 3.369 3.369 3.369
```